SmHo4Al5 | GGA-PBE | relaxed

calculated formation energy = -377 kJ/mol of formula units
energy = -4.56 eV per atom

a = 3.5933 Å, b = 3.5933 Å, c = 18.0960 Å
α = 90.00°, β = 90.00°, γ = 90.00°
Last column: nearest neighbours and their distance in Å.
Space group P4/mmm (No. 123)
One atom of each set of equivalent atoms:
1 Sm 0.0000 0.0000 0.0000 (multiplicity 1)  8 Al 3.19
2 Ho 0.0000 0.0000 0.2044 (multiplicity 2)  8 Al 3.10
3 Ho 0.0000 0.0000 0.4016 (multiplicity 2)  8 Al 3.10-3.11
4 Al 0.5000 0.5000 0.1065 (multiplicity 2)  4 Ho 3.10, 4 Sm 3.19
5 Al 0.5000 0.5000 0.3030 (multiplicity 2)  8 Ho 3.10-3.11
6 Al 0.5000 0.5000 0.5000 (multiplicity 1)  8 Ho 3.10

SmHoAl4 | GGA-PBE | relaxed

calculated formation energy = -294 kJ/mol of formula units
energy = -4.55 eV per atom

a = 7.9107 Å, b = 7.9107 Å, c = 7.9107 Å
α = 90.00°, β = 90.00°, γ = 90.00°
Last column: nearest neighbours and their distance in Å.
Space group F-43m (No. 216)
One atom of each set of equivalent atoms:
1 Sm 0.0000 0.0000 0.0000 (multiplicity 4)  12 Al 3.28, 4 Ho 3.43
2 Ho 0.2500 0.2500 0.2500 (multiplicity 4)  12 Al 3.28, 4 Sm 3.43
3 Al 0.1249 0.1249 0.6249 (multiplicity 16)  6 Al 2.79-2.80

Sm3HoAl2 | GGA-PBE | relaxed

calculated formation energy = -111 kJ/mol of formula units
energy = -4.56 eV per atom

a = 4.9027 Å, b = 15.0929 Å, c = 4.4193 Å
α = 90.00°, β = 90.00°, γ = 90.00°
Last column: nearest neighbours and their distance in Å.
Space group Cmmm (No. 65)
One atom of each set of equivalent atoms:
1 Sm 0.0000 0.0000 0.0000 (multiplicity 2)  4 Al 3.21, 4 Ho 3.30
2 Sm 0.0000 0.3245 0.0000 (multiplicity 4)  6 Al 3.32-3.39, 4 Sm 3.33-3.61, 2 Ho 3.45
3 Ho 0.0000 0.5000 0.5000 (multiplicity 2)  8 Sm 3.30-3.45, 4 Al 3.38
4 Al 0.0000 0.1545 0.5000 (multiplicity 4)  8 Sm 3.21-3.39, 2 Ho 3.38

Sm8Ho2Al | GGA-PBE | relaxed

calculated formation energy = 36 kJ/mol of formula units
energy = -4.57 eV per atom

a = 17.7374 Å, b = 5.4597 Å, c = 7.9552 Å
α = 90.00°, β = 112.79°, γ = 90.00°
Last column: nearest neighbours and their distance in Å.
Space group C2/m (No. 12)
One atom of each set of equivalent atoms:
1 Sm 0.0123 0.0000 0.2633 (multiplicity 4)  2 Al 3.37, 6 Sm 3.43-3.66, 1 Ho 3.58
2 Sm 0.1101 0.5000 0.9203 (multiplicity 4)  1 Al 3.15, 2 Ho 3.32, 2 Sm 3.44
3 Sm 0.1573 0.5000 0.4081 (multiplicity 4)  1 Al 3.15, 1 Sm 3.44, 1 Ho 3.45
4 Sm 0.1771 0.0000 0.7165 (multiplicity 4)  8 Sm 3.43-3.76, 3 Ho 3.43-3.48
5 Ho 0.1915 0.0000 0.1593 (multiplicity 4)  9 Sm 3.32-3.58
6 Al 0.0000 0.5000 0.5000 (multiplicity 2)  8 Sm 3.15-3.37

Sm9Ho4Al11 | GGA-PBE | relaxed

calculated formation energy = -705 kJ/mol of formula units
energy = -4.55 eV per atom

a = 15.7236 Å, b = 22.2636 Å, c = 3.4430 Å
α = 90.00°, β = 90.00°, γ = 90.00°
Last column: nearest neighbours and their distance in Å.
Space group Cmmm (No. 65)
One atom of each set of equivalent atoms:
1 Sm 0.0000 0.0000 0.0000 (multiplicity 2)  4 Al 3.23, 4 Ho 3.29, 2 Sm 3.44
2 Sm 0.1120 0.4074 0.0000 (multiplicity 8)  8 Al 3.14-3.26, 1 Ho 3.41, 2 Sm 3.44
3 Sm 0.1131 0.2291 0.0000 (multiplicity 8)  8 Al 3.15-3.42, 1 Ho 3.35, 2 Sm 3.44
4 Ho 0.1713 0.0846 0.0000 (multiplicity 8)  6 Al 3.11-3.31, 3 Sm 3.29-3.41, 2 Ho 3.44
5 Al 0.0000 0.1228 0.5000 (multiplicity 4)  6 Sm 3.23-3.42, 4 Ho 3.31, 2 Al 3.44
6 Al 0.0000 0.3169 0.5000 (multiplicity 4)  8 Sm 3.15-3.18, 2 Al 3.44
7 Al 0.0000 0.5000 0.5000 (multiplicity 2)  8 Sm 3.21, 4 Al 3.38-3.44
8 Al 0.2153 0.5000 0.5000 (multiplicity 4)  4 Ho 3.11, 4 Sm 3.14, 3 Al 3.38-3.44
9 Al 0.2312 0.3160 0.5000 (multiplicity 8)  1 Al 3.00, 6 Sm 3.16-3.26, 2 Ho 3.20

Sm5HoAl6 | GGA-PBE | relaxed

calculated formation energy = -437 kJ/mol of formula units
energy = -4.60 eV per atom

a = 5.1836 Å, b = 7.3234 Å, c = 15.5478 Å
α = 90.00°, β = 90.00°, γ = 90.00°
Last column: nearest neighbours and their distance in Å.
Space group Immm (No. 71)
One atom of each set of equivalent atoms:
1 Sm 0.0000 0.0000 0.0000 (multiplicity 2)  8 Al 3.17-3.22
2 Sm 0.0000 0.0000 0.3301 (multiplicity 4)  8 Al 3.15-3.18
3 Sm 0.0000 0.5000 0.3352 (multiplicity 4)  8 Al 3.20
4 Ho 0.0000 0.5000 0.0000 (multiplicity 2)  8 Al 3.12-3.13
5 Al 0.0000 0.2395 0.5000 (multiplicity 4)  2 Ho 3.13, 6 Sm 3.17-3.22
6 Al 0.0000 0.2553 0.1644 (multiplicity 8)  1 Ho 3.12, 7 Sm 3.15-3.20